[1]
A relaxed structure of Ho4B6Ir7. Source: Alexandria, functional PBE.

abc: 6.8914 6.8914 6.8914
angles: 109.47 109.47 109.47
Atoms (fractional coordinates):
Ho 0.5000 0.0000 0.0000
Ho 0.0000 0.0000 0.5000
Ho 0.5000 0.5000 0.5000
Ho 0.0000 0.5000 0.0000
Ir 0.7500 0.2500 0.5000
Ir 0.2500 0.5000 0.7500
Ir 0.5000 0.2500 0.7500
Ir 0.5000 0.7500 0.2500
Ir 0.0000 0.0000 0.0000
Ir 0.7500 0.5000 0.2500
Ir 0.2500 0.7500 0.5000
B 0.3639 0.3639 0.0000
B 0.0000 0.3639 0.3639
B 0.6361 0.0000 0.6361
B 0.0000 0.6361 0.6361
B 0.6361 0.6361 0.0000
B 0.3639 0.0000 0.3639

Properties
* DOS at the Fermi energy: 0.587 states/eV per atom


[2]
A relaxed structure of Ho2B3Ir2. Source: Alexandria, functional PBE.

abc: 4.0378 5.2314 6.1039
angles: 110.96 90.00 112.70
Atoms (fractional coordinates):
B 0.6323 0.2646 0.2684
B 0.5000 0.0000 0.0000
B 0.3677 0.7354 0.7316
Ir 0.7867 0.5734 0.6559
Ir 0.2133 0.4266 0.3441
Ho 0.1069 0.2138 0.8079
Ho 0.8931 0.7862 0.1921

Properties
* DOS at the Fermi energy: 0.512 states/eV per atom


[3]
A relaxed structure of Ho2BIr3. Source: Alexandria, functional PBE.

abc: 3.1940 5.2689 7.0599
angles: 111.91 103.07 90.00
Atoms (fractional coordinates):
Ir 0.3888 0.3888 0.7776
Ir 0.0000 0.0000 0.0000
Ir 0.6112 0.6112 0.2224
Ho 0.6859 0.1859 0.3718
Ho 0.3141 0.8141 0.6282
B 0.0000 0.5000 0.0000

Properties
* polymorph energy (0 for the lowest one): 386.3 meV/atom
* DOS at the Fermi energy: 0.481 states/eV per atom


[4]
A relaxed structure of HoB3Ir5. Source: Alexandria, functional PBE.

abc: 3.3619 5.1356 14.9359
angles: 90.00 90.00 109.11
Atoms (fractional coordinates):
Ir 0.2560 0.5119 0.9142
Ir 0.2560 0.5119 0.5858
Ir 0.5255 0.0510 0.6599
Ir 0.5255 0.0510 0.8401
Ir 0.4745 0.9490 0.1599
Ir 0.0000 0.0000 0.0000
Ir 0.4745 0.9490 0.3401
Ir 0.7440 0.4881 0.4142
Ir 0.7440 0.4881 0.0858
Ir 0.0000 0.0000 0.5000
B 0.9433 0.8866 0.2500
B 0.6385 0.2770 0.5394
B 0.3615 0.7230 0.4606
B 0.3615 0.7230 0.0394
B 0.6385 0.2770 0.9606
B 0.0567 0.1134 0.7500
Ho 0.8005 0.6009 0.7500
Ho 0.1995 0.3991 0.2500

Properties
* DOS at the Fermi energy: 0.583 states/eV per atom


[5]
A relaxed structure of HoB6Ir12. Source: Alexandria, functional PBE.

abc: 6.5462 6.5462 6.5462
angles: 104.11 104.11 104.11
Atoms (fractional coordinates):
Ir 0.5000 0.8647 0.1353
Ir 0.1353 0.8647 0.5000
Ir 0.8158 0.5556 0.5556
Ir 0.5556 0.8158 0.5556
Ir 0.4444 0.4444 0.1842
Ir 0.4444 0.1842 0.4444
Ir 0.8647 0.5000 0.1353
Ir 0.1842 0.4444 0.4444
Ir 0.5556 0.5556 0.8158
Ir 0.8647 0.1353 0.5000
Ir 0.5000 0.1353 0.8647
Ir 0.1353 0.5000 0.8647
B 0.7692 0.7692 0.3324
B 0.7692 0.3324 0.7692
B 0.6676 0.2308 0.2308
B 0.3324 0.7692 0.7692
B 0.2308 0.6676 0.2308
B 0.2308 0.2308 0.6676
Ho 0.0000 0.0000 0.0000

Properties
* DOS at the Fermi energy: 0.728 states/eV per atom


[6]
A relaxed structure of HoB2Ir3. Source: Alexandria, functional PBE.

abc: 3.1505 5.4625 5.4625
angles: 120.01 90.00 90.00
Atoms (fractional coordinates):
Ho 0.0000 0.0000 0.0000
B 0.0000 0.6667 0.3333
B 0.0000 0.3333 0.6667
Ir 0.5000 0.5000 0.5000
Ir 0.5000 0.5000 0.0000
Ir 0.5000 0.0000 0.5000

Properties
* DOS at the Fermi energy: 0.103 states/eV per atom


[7]
A relaxed structure of Ho2B4Ir3. Source: Alexandria, functional PBE.

abc: 5.3896 5.3896 5.6124
angles: 104.68 104.68 118.19
Atoms (fractional coordinates):
B 0.6185 0.0471 0.6656
B 0.0471 0.6185 0.6656
B 0.3815 0.9529 0.3344
B 0.9529 0.3815 0.3344
Ho 0.6537 0.6537 0.3073
Ho 0.3463 0.3463 0.6927
Ir 0.0000 0.5000 0.0000
Ir 0.5000 0.0000 0.0000
Ir 0.0000 0.0000 0.0000

Properties
* DOS at the Fermi energy: 0.439 states/eV per atom


[8]
A relaxed structure of Ho2BIr3. Source: Alexandria, functional PBE.

abc: 4.9092 4.9092 4.9092
angles: 67.93 67.93 67.93
Atoms (fractional coordinates):
Ir 0.5000 0.0000 0.0000
Ir 0.0000 0.5000 0.0000
Ir 0.0000 0.0000 0.5000
Ho 0.3733 0.3733 0.3733
Ho 0.6267 0.6267 0.6267
B 0.0000 0.0000 0.0000

Properties
* polymorph energy (0 for the lowest one): 0.0 meV/atom
* DOS at the Fermi energy: 0.528 states/eV per atom


Number 1: volume 251.9 Å³/cell, formation energy -7.5 eV/f.u.. Number 2: volume 109.6 Å³/cell, formation energy -3.0 eV/f.u.. Number 3: volume 106.9 Å³/cell, formation energy -1.3 eV/f.u.. Number 4: volume 243.7 Å³/cell, formation energy -2.3 eV/f.u.. Number 5: volume 249.8 Å³/cell, formation energy -4.8 eV/f.u.. Number 6: volume 81.4 Å³/cell, formation energy -4.1 eV/f.u.. Number 7: volume 125.0 Å³/cell, formation energy -2.3 eV/f.u.. Number 8: volume 97.8 Å³/cell, formation energy -3.6 eV/f.u..